A geometry-optimized DyHf2ZrN4 structure, computed with GGA-PBE.

Cell: 6.560 6.560 6.560 Å, 120.07 119.91 90.01°
Fractional coordinates of all 16 atoms:
1 Dy 0.500 0.000 0.000
2 Dy 0.500 0.500 0.500
3 Hf 0.000 0.000 0.000
4 Hf 0.000 0.000 0.500
5 Hf 0.000 0.500 0.000
6 Hf 0.500 0.000 0.500
7 Zr 0.000 0.500 0.500
8 Zr 0.500 0.500 0.000
9 N 0.229 0.246 0.984
10 N 0.238 0.754 0.484
11 N 0.242 0.233 0.491
12 N 0.242 0.752 0.009
13 N 0.758 0.248 0.991
14 N 0.758 0.767 0.509
15 N 0.762 0.246 0.516
16 N 0.771 0.754 0.016

Calculated values
Energy relative to the elements, uncorrected in kJ/mol of atoms: -168.7
Symmetry: No. 74

A geometry-optimized Li2CuSn structure, computed with GGA-PBE.

Cell: 4.253 4.441 7.099 Å, 90.00 90.00 90.00°
Fractional coordinates of all 8 atoms:
1 Li 0.250 0.000 0.106
2 Li 0.250 0.000 0.633
3 Li 0.750 0.000 0.367
4 Li 0.750 0.000 0.894
5 Cu 0.250 0.500 0.907
6 Cu 0.750 0.500 0.093
7 Sn 0.250 0.500 0.329
8 Sn 0.750 0.500 0.671

Calculated values
Symmetry: No. 51

Q: Which ρ values were calculated for the entries above? A: 11.09, 4.86, in Mg/m³.
Q: Which E values were calculated for the entries above? A: -10.04, -3.17, in eV/atom.